## TcRuCl2 (meta-GGA SCAN)

Data for a crystal of TcRuCl2 relaxed with PBEsol.

The structure in POSCAR format:
```
TcRuCl2
1.0
2.8085 0.0000 0.0000
0.0000 4.0603 0.0000
0.0000 0.0000 5.2278
Tc Ru Cl
1 1 2
direct
0.0000 0.0000 0.0000
0.5000 0.0000 0.5000
0.0000 0.5000 0.5000
0.5000 0.5000 0.0000
```

## Properties
Total magnetization ... 1.96 μB per formula unit
Space-group type ... No. 47
Uncorrected formation energy ... 0.69 eV per atom
Fermi-level density of states ... 3.34 states/eV/f.u.
ΔE to the lowest computed polymorph ... 32.65 kJ/mol of atoms

---

## RbSeBr3 (meta-GGA SCAN)

Data for a crystal of RbSeBr3 relaxed with PBEsol.

The structure in POSCAR format:
```
RbSeBr3
1.0
5.4619 0.0000 0.0000
0.0000 5.4619 0.0000
0.0000 0.0000 5.3235
Rb Se Br
1 1 3
direct
0.0000 0.0000 0.0000
0.5000 0.5000 0.4967
0.0000 0.5000 0.4967
0.5000 0.0000 0.4967
0.5000 0.5000 0.9967
```

## Properties
Total magnetization ... 0.00 μB per formula unit
Space-group type ... No. 99
Uncorrected formation energy ... -0.80 eV per atom
Fermi-level density of states ... 2.26 states/eV/f.u.

---

## BSbTe2S (meta-GGA SCAN)

Data for a crystal of BSbTe2S relaxed with PBEsol.

The structure in POSCAR format:
```
BSbTe2S
1.0
5.2448 0.0000 0.0000
0.0000 5.2448 0.0000
0.0000 0.0000 5.0318
B Sb Te S
1 1 2 1
direct
0.0000 0.0000 0.0000
0.5000 0.5000 0.0000
0.0000 0.5000 0.5000
0.5000 0.0000 0.5000
0.5000 0.5000 0.5000
```

## Properties
Total magnetization ... 0.00 μB per formula unit
Space-group type ... No. 123
Uncorrected formation energy ... 1.45 eV per atom
Fermi-level density of states ... 5.14 states/eV/f.u.

---

## Nb2ZnTeSe (meta-GGA SCAN)

Data for a crystal of Nb2ZnTeSe relaxed with PBEsol.

The structure in POSCAR format:
```
Nb2ZnTeSe
1.0
4.7509 0.0000 0.0000
0.0000 4.7509 0.0000
0.0000 0.0000 5.3717
Nb Zn Te Se
2 1 1 1
direct
0.0000 0.5000 0.0000
0.5000 0.0000 0.0000
0.0000 0.0000 0.5000
0.5000 0.5000 0.5000
0.5000 0.5000 0.0000
```

## Properties
Total magnetization ... 0.95 μB per formula unit
Space-group type ... No. 123
Uncorrected formation energy ... 1.04 eV per atom
Fermi-level density of states ... 3.82 states/eV/f.u.

---

## CrPt2Cl (meta-GGA SCAN)

Data for a crystal of CrPt2Cl relaxed with PBEsol.

The structure in POSCAR format:
```
CrPt2Cl
1.0
2.8284 0.0000 0.0000
0.0000 2.7990 0.0000
-0.1020 0.0000 7.8551
Cr Pt Cl
1 2 1
direct
0.0000 0.0000 0.0000
0.0169 0.0000 0.4459
0.5071 0.5000 0.1962
0.9911 0.5000 0.7813
```

## Properties
Total magnetization ... 0.00 μB per formula unit
Space-group type ... No. 6
Uncorrected formation energy ... 0.05 eV per atom
Fermi-level density of states ... 3.08 states/eV/f.u.
ΔE to the lowest computed polymorph ... 0.00 kJ/mol of atoms

---

## KLiH2Pd (meta-GGA SCAN)

Data for a crystal of KLiH2Pd relaxed with PBEsol.

The structure in POSCAR format:
```
KLiH2Pd
1.0
4.1527 0.0000 0.0000
0.0000 4.1527 0.0000
0.0000 0.0000 4.5721
K Li H Pd
1 1 2 1
direct
0.0000 0.0000 0.0000
0.5000 0.5000 0.5000
0.0000 0.5000 0.5000
0.5000 0.0000 0.5000
0.5000 0.5000 0.0000
```

## Properties
Uncorrected energy ... -0.7087 Ry/atom
Total magnetization ... 0.28 μB per formula unit
Space-group type ... No. 123
Fermi-level density of states ... 1.45 states/eV/f.u.

---

## BeCo2Tc (meta-GGA SCAN)

Data for a crystal of BeCo2Tc relaxed with PBEsol.

The structure in POSCAR format:
```
BeCo2Tc
1.0
5.0221 0.0000 0.0000
0.0000 6.7346 0.0000
0.0000 0.0000 2.5317
Be Co Tc
2 4 2
direct
0.0000 0.0000 0.0000
0.5000 0.5000 0.0000
0.2500 0.2500 0.5000
0.2500 0.7500 0.5000
0.7500 0.2500 0.5000
0.7500 0.7500 0.5000
0.0000 0.5000 0.0000
0.5000 0.0000 0.0000
```

## Properties
Formation enthalpy at 0 K ... 0.155 eV/atom
Total magnetization ... 0.00 μB per formula unit
Space-group type ... No. 65
Fermi-level density of states ... 3.38 states/eV/f.u.
ΔE to the lowest computed polymorph ... 24.95 kJ/mol of atoms

---

## CoSiTc2 (meta-GGA SCAN)

Data for a crystal of CoSiTc2 relaxed with PBEsol.

The structure in POSCAR format:
```
CoSiTc2
1.0
2.8754 0.0000 0.0000
0.0000 4.1473 0.0000
0.0000 0.0000 8.2274
Co Si Tc
2 2 4
direct
0.0000 0.0000 0.0000
0.5000 0.5000 0.5000
0.0000 0.5000 0.7133
0.5000 0.0000 0.2133
0.0000 0.0000 0.4596
0.0000 0.5000 0.2297
0.5000 0.0000 0.7297
0.5000 0.5000 0.9596
```

## Properties
Total magnetization ... 0.96 μB per formula unit
Space-group type ... No. 44
Uncorrected formation energy ... -0.27 eV per atom
Fermi-level density of states ... 2.91 states/eV/f.u.

---

## MgTl2Cl (meta-GGA SCAN)

Data for a crystal of MgTl2Cl relaxed with PBEsol.

The structure in POSCAR format:
```
MgTl2Cl
1.0
3.2976 0.0000 0.0000
0.0000 3.2976 0.0000
0.0000 0.0000 9.3070
Mg Tl Cl
1 2 1
direct
0.0000 0.0000 0.0000
0.0000 0.0000 0.5094
0.5000 0.5000 0.2390
0.5000 0.5000 0.8505
```

## Properties
Total magnetization ... 0.00 μB per formula unit
Space-group type ... No. 99
Uncorrected formation energy ... -0.60 eV per atom
Fermi-level density of states ... 1.24 states/eV/f.u.
ΔE to the lowest computed polymorph ... 0.00 kJ/mol of atoms

---

## LaTl4 (meta-GGA SCAN)

Data for a crystal of LaTl4 relaxed with PBEsol.

The structure in POSCAR format:
```
LaTl4
1.0
7.7439 0.0000 0.0000
0.0000 7.7439 0.0000
0.0000 0.0000 4.6383
La Tl
2 8
direct
0.0000 0.0000 0.0000
0.5000 0.5000 0.5000
0.0929 0.6936 0.5000
0.1936 0.4071 0.0000
0.3064 0.0929 0.5000
0.4071 0.8064 0.0000
0.5929 0.1936 0.0000
0.6936 0.9071 0.5000
0.8064 0.5929 0.0000
0.9071 0.3064 0.5000
```

## Properties
Formation enthalpy at 0 K ... -0.302 eV/atom
Total magnetization ... 0.00 μB per formula unit
Space-group type ... No. 87
Fermi-level density of states ... 2.36 states/eV/f.u.